{"formula": "Li2ReCl", "functional": "PBE", "state": "relaxed", "cell": [[5.054, -0.024, 0.000], [2.405, 4.445, 0.000], [-3.729, -2.211, 2.597]], "species": ["Cl", "Li", "Li", "Re"], "fractional_positions": [[0.750, 0.250, 0.500], [0.000, 0.000, 0.000], [0.500, 0.500, 0.000], [0.250, 0.750, 0.500]], "crystal_system": "tetragonal", "formation_energy_uncorrected_ev_per_atom": 0.806, "m_tot_mub_per_cell": 1.301}

{"formula": "LiReCl2", "functional": "PBE", "state": "relaxed", "cell": [[3.886, 0.000, 0.000], [0.000, 2.958, -0.002], [0.000, -1.102, 5.872]], "species": ["Cl", "Cl", "Li", "Re"], "fractional_positions": [[0.000, 0.843, 0.996], [0.000, 0.657, 0.504], [0.500, 0.250, 0.250], [0.500, 0.750, 0.750]], "crystal_system": "monoclinic", "formation_energy_uncorrected_ev_per_atom": -0.010, "m_tot_mub_per_cell": 0.000}

{"formula": "LiReCl2", "functional": "PBE", "state": "relaxed", "cell": [[-1.752, -7.954, 0.398], [1.624, -7.629, -2.376], [1.499, 7.571, 2.629]], "species": ["Cl", "Cl", "Li", "Re"], "fractional_positions": [[0.013, 0.013, 0.000], [0.226, 0.726, 0.500], [0.469, 0.469, 0.000], [0.793, 0.293, 0.500]], "crystal_system": "orthorhombic", "formation_energy_uncorrected_ev_per_atom": 0.082, "m_tot_mub_per_cell": 0.000}

{"formula": "LiReCl2", "functional": "PBE", "state": "relaxed", "cell": [[-2.106, 0.232, 2.125], [1.661, -2.496, -0.128], [6.212, 3.838, 5.738]], "species": ["Cl", "Cl", "Li", "Re"], "fractional_positions": [[0.000, 0.000, 0.951], [0.500, 0.500, 0.312], [0.000, 0.000, 0.481], [0.500, 0.500, 0.756]], "crystal_system": "orthorhombic", "formation_energy_uncorrected_ev_per_atom": 0.073, "m_tot_mub_per_cell": 0.000}

{"formula": "LiRe4Cl", "functional": "PBE", "state": "relaxed", "cell": [[-4.542, -0.623, 2.567], [-1.182, 3.135, 4.047], [-3.805, 3.591, -0.483]], "species": ["Li", "Re", "Re", "Re", "Re", "Cl"], "fractional_positions": [[0.000, 0.000, 0.000], [0.873, 0.376, 0.376], [0.376, 0.376, 0.873], [0.376, 0.873, 0.376], [0.376, 0.376, 0.376], [0.750, 0.750, 0.750]], "crystal_system": "cubic", "formation_energy_uncorrected_ev_per_atom": 1.057, "m_tot_mub_per_cell": 0.000}

{"formula": "LiRe2Cl", "functional": "PBE", "state": "relaxed", "cell": [[-0.330, -0.050, -3.044], [-2.956, -0.707, 0.332], [-3.021, 6.117, 0.227]], "species": ["Cl", "Li", "Re", "Re"], "fractional_positions": [[0.000, 0.273, 0.579], [0.500, 0.704, 0.718], [0.000, 0.062, 0.000], [0.500, 0.461, 0.203]], "crystal_system": "orthorhombic", "formation_energy_uncorrected_ev_per_atom": -0.051, "m_tot_mub_per_cell": 0.000}

{"formula": "Li2ReCl", "functional": "PBE", "state": "relaxed", "cell": [[-1.677, 2.178, -0.231], [-2.190, -1.665, 0.198], [-2.136, -0.810, 7.868]], "species": ["Cl", "Li", "Li", "Re"], "fractional_positions": [[0.500, 0.750, 0.750], [0.000, 0.049, 0.951], [0.000, 0.451, 0.549], [0.500, 0.250, 0.250]], "crystal_system": "tetragonal", "formation_energy_uncorrected_ev_per_atom": -0.168, "m_tot_mub_per_cell": 0.000}

{"formula": "Li3ReCl", "functional": "PBE", "state": "relaxed", "cell": [[4.507, 0.000, 0.000], [0.000, 4.507, 0.000], [0.000, 0.000, 4.507]], "species": ["Re", "Li", "Li", "Li", "Cl"], "fractional_positions": [[0.500, 0.500, 0.500], [0.000, 0.500, 0.000], [0.000, 0.000, 0.500], [0.500, 0.000, 0.000], [0.000, 0.000, 0.000]], "crystal_system": "cubic", "formation_energy_uncorrected_ev_per_atom": 0.444, "m_tot_mub_per_cell": 3.129}

{"formula": "LiReCl2", "functional": "PBE", "state": "relaxed", "cell": [[-3.164, 0.335, -6.521], [-6.824, -0.627, -2.384], [5.463, 2.841, 3.839]], "species": ["Cl", "Cl", "Li", "Re"], "fractional_positions": [[0.889, 0.889, 0.000], [0.611, 0.611, 0.000], [0.250, 0.750, 0.500], [0.750, 0.250, 0.500]], "crystal_system": "orthorhombic", "formation_energy_uncorrected_ev_per_atom": -0.052, "m_tot_mub_per_cell": 0.431}

{"formula": "Li2ReCl", "functional": "PBE", "state": "relaxed", "cell": [[2.881, 0.000, 0.000], [0.000, 2.882, 0.000], [0.000, 0.000, 8.401]], "species": ["Cl", "Li", "Li", "Re"], "fractional_positions": [[0.500, 0.500, 0.902], [0.000, 0.000, 0.993], [0.500, 0.500, 0.195], [0.000, 0.000, 0.410]], "crystal_system": "tetragonal", "formation_energy_uncorrected_ev_per_atom": 0.134, "m_tot_mub_per_cell": 0.002}

{"formula": "Li2ReCl", "functional": "PBE", "state": "relaxed", "cell": [[4.510, 0.000, 0.000], [0.000, 2.732, -0.117], [0.000, 0.359, 5.075]], "species": ["Cl", "Li", "Li", "Re"], "fractional_positions": [[0.500, 0.619, 0.680], [0.000, 0.109, 0.012], [0.500, 0.146, 0.294], [0.000, 0.626, 0.513]], "crystal_system": "monoclinic", "formation_energy_uncorrected_ev_per_atom": 0.214, "m_tot_mub_per_cell": 0.000}

{"formula": "LiReCl2", "functional": "PBE", "state": "relaxed", "cell": [[-3.214, 0.852, -3.105], [-3.112, -1.947, 2.687], [-0.531, 2.588, 1.260]], "species": ["Cl", "Cl", "Li", "Re"], "fractional_positions": [[0.000, 0.000, 0.000], [0.500, 0.500, 0.000], [0.500, 0.000, 0.500], [0.000, 0.500, 0.500]], "crystal_system": "tetragonal", "formation_energy_uncorrected_ev_per_atom": 0.281, "m_tot_mub_per_cell": 0.000}

Copy entry 6 word for word.
{"formula": "LiRe2Cl", "functional": "PBE", "state": "relaxed", "cell": [[-0.330, -0.050, -3.044], [-2.956, -0.707, 0.332], [-3.021, 6.117, 0.227]], "species": ["Cl", "Li", "Re", "Re"], "fractional_positions": [[0.000, 0.273, 0.579], [0.500, 0.704, 0.718], [0.000, 0.062, 0.000], [0.500, 0.461, 0.203]], "crystal_system": "orthorhombic", "formation_energy_uncorrected_ev_per_atom": -0.051, "m_tot_mub_per_cell": 0.000}